(1)
Li2Pr3In5: optimized geometry, PBE.

Output
Spin magnetization in μB/cell: 0.0
Space group: P4/mbm, No. 127
Formation enthalpy at 0 K in eV per formula unit: -4.25
Mass density in kg/m3: 6613

a = 4.4714 Å, b = 10.6546 Å, c = 10.6546 Å
α = 90.00°, β = 90.00°, γ = 90.00°
Last column: nearest neighbours and their distance in Å.
Positions (direct):
1 In 0.5000 0.5721 0.7182  2 Li 2.87, 2 In 3.10-3.16
2 Pr 0.0000 0.8253 0.6747  3 Li 3.11-3.19, 2 In 3.45
3 In 0.5000 0.5000 0.0000  4 Li 2.87, 4 In 3.10
4 Li 0.0000 0.3809 0.1191  6 In 2.87, 3 Pr 3.11-3.19
5 Li 0.0000 0.6191 0.8809  6 In 2.87, 3 Pr 3.11-3.19
6 Pr 0.0000 0.3253 0.8253  3 Li 3.11-3.19, 2 In 3.45
7 Li 0.0000 0.8809 0.3809  6 In 2.87, 3 Pr 3.11-3.19
8 In 0.5000 0.7182 0.4279  2 Li 2.87, 2 In 3.10-3.16
9 In 0.5000 0.7818 0.9279  2 Li 2.87, 2 In 3.10-3.16
10 In 0.5000 0.0721 0.7818  2 Li 2.87, 2 In 3.10-3.16
11 In 0.5000 0.0000 0.5000  4 Li 2.87, 4 In 3.10
12 Pr 0.0000 0.6747 0.1747  3 Li 3.11-3.19, 2 In 3.45
13 Pr 0.0000 0.5000 0.5000  8 In 3.32
14 In 0.5000 0.2818 0.5721  2 Li 2.87, 2 In 3.10-3.16
15 Li 0.0000 0.1191 0.6191  6 In 2.87, 3 Pr 3.11-3.19
16 In 0.5000 0.2182 0.0721  2 Li 2.87, 2 In 3.10-3.16
17 In 0.5000 0.4279 0.2818  2 Li 2.87, 2 In 3.10-3.16
18 Pr 0.0000 0.0000 0.0000  8 In 3.32
19 Pr 0.0000 0.1747 0.3253  3 Li 3.11-3.19, 2 In 3.45
20 In 0.5000 0.9279 0.2182  2 Li 2.87, 2 In 3.10-3.16


(2)
CaSiO2: optimized geometry, PBE.

Output
Spin magnetization in μB/cell: 0.0
Space group: I-42d, No. 122
Formation energy (no corrections) in eV/atom: -1.59
Mass density in kg/m3: 2649

a = 4.7698 Å, b = 4.7698 Å, c = 6.4688 Å
α = 68.37°, β = 68.37°, γ = 90.00°
Last column: nearest neighbours and their distance in Å.
Positions (direct):
1 O 0.8750 0.8228 0.7500  2 Si 2.05
2 Si 0.2500 0.7500 0.5000  4 O 2.05
3 O 0.3750 0.4272 0.7500  2 Si 2.05
4 Ca 0.7500 0.2500 0.5000  4 O 2.32
5 O 0.5728 0.1250 0.2500  2 Si 2.05
6 Si 0.5000 0.5000 0.0000  4 O 2.05
7 O 0.1772 0.6250 0.2500  2 Si 2.05
8 Ca 0.0000 0.0000 0.0000  4 O 2.32


(3)
CdFeW2: optimized geometry, PBE.

Output
Spin magnetization in μB/cell: 2.3
Space group: Pm, No. 6
Formation enthalpy at 0 K in eV per formula unit: 1.87
Mass density in kg/m3: 13815

a = 4.3818 Å, b = 2.7006 Å, c = 5.5448 Å
α = 79.05°, β = 90.00°, γ = 90.00°
Last column: nearest neighbours and their distance in Å.
Positions (direct):
1 Cd 0.0000 0.5671 0.5077  2 Cd 2.70, 2 Fe 2.71, 4 W 2.85-2.94
2 W 0.0000 0.9852 0.9928  2 Fe 2.67, 4 W 2.69-2.70, 2 Cd 2.85-2.86
3 W 0.5000 0.2195 0.2289  1 Fe 2.65, 4 W 2.69-2.70, 2 Cd 2.94
4 Fe 0.5000 0.7282 0.7707  3 W 2.65-2.67, 2 Fe 2.70, 2 Cd 2.71


The highest mass density belongs to which entry?
CdFeW2